Record 1
DFT (PBE) results for a relaxed structure of LaHF2.

a = 3.4550 Å, b = 3.4550 Å, c = 18.2163 Å
α = 90.00°, β = 90.00°, γ = 120.00°
Space group R-3m (No. 166, hexagonal axes)
One atom of each set of equivalent atoms:
La 0.0000 0.0000 0.0000 (multiplicity 3)
H 0.0000 0.0000 0.5000 (multiplicity 3)
F 0.0000 0.0000 0.4370 (multiplicity 6)

Results
* magnetic moment: 0.00 μB per atom
* density: 4706 kg/m³
* offset from the most stable computed form: 0.802 eV per atom

=====

Record 2
DFT (PBE) results for a relaxed structure of LaHF3.

a = 4.686 Å, b = 4.686 Å, c = 4.686 Å
α = 90.00°, β = 90.00°, γ = 90.00°
Space group Pm-3m (No. 221)
One atom of each set of equivalent atoms:
La 0.000 0.000 0.000 (multiplicity 1)
H 0.500 0.500 0.500 (multiplicity 1)
F 0.000 0.000 0.500 (multiplicity 3)

Results
* magnetic moment: 0.20 μB per atom
* density: 3177 kg/m³
* offset from the most stable computed form: 0.000 eV per atom

=====

Record 3
DFT (PBE) results for a relaxed structure of La2HF.

a = 5.754 Å, b = 5.754 Å, c = 11.343 Å
α = 90.00°, β = 90.00°, γ = 90.00°
Space group I-42d (No. 122)
One atom of each set of equivalent atoms:
La 0.239 0.250 0.125 (multiplicity 8)
H 0.000 0.000 0.000 (multiplicity 4)
F 0.000 0.000 0.500 (multiplicity 4)

Results
* magnetic moment: 0.50 μB per atom
* density: 5266 kg/m³
* offset from the most stable computed form: 0.000 eV per atom

=====

Record 4
DFT (PBE) results for a relaxed structure of LaHF.

a = 4.0128 Å, b = 4.0128 Å, c = 20.4233 Å
α = 90.00°, β = 90.00°, γ = 120.00°
Space group R-3m (No. 166, hexagonal axes)
One atom of each set of equivalent atoms:
La 0.0000 0.0000 0.2415 (multiplicity 6)
H 0.0000 0.0000 0.1236 (multiplicity 6)
F 0.0000 0.0000 0.3704 (multiplicity 6)

Results
* magnetic moment: 0.00 μB per atom
* density: 5559 kg/m³
* offset from the most stable computed form: 0.000 eV per atom

=====

Record 5
DFT (PBE) results for a relaxed structure of LaHF.

a = 3.445 Å, b = 3.445 Å, c = 7.337 Å
α = 90.00°, β = 90.00°, γ = 90.00°
Space group I4mm (No. 107)
One atom of each set of equivalent atoms:
La 0.000 0.000 0.000 (multiplicity 2)
H 0.000 0.000 0.651 (multiplicity 2)
F 0.000 0.000 0.332 (multiplicity 2)

Results
* magnetic moment: 0.10 μB per atom
* density: 6062 kg/m³
* offset from the most stable computed form: 0.327 eV per atom

=====

Record 6
DFT (PBE) results for a relaxed structure of LaHF2.

a = 5.844 Å, b = 5.844 Å, c = 5.844 Å
α = 90.00°, β = 90.00°, γ = 90.00°
Space group Fm-3m (No. 225)
One atom of each set of equivalent atoms:
La 0.000 0.000 0.000 (multiplicity 4)
H 0.000 0.000 0.500 (multiplicity 4)
F 0.250 0.250 0.250 (multiplicity 8)

Results
* magnetic moment: 0.00 μB per atom
* density: 5919 kg/m³
* offset from the most stable computed form: 0.000 eV per atom

=====

Record 7
DFT (PBE) results for a relaxed structure of LaMgHF2.

a = 4.805 Å, b = 4.805 Å, c = 3.865 Å
α = 90.00°, β = 90.00°, γ = 90.00°
Space group P4/mmm (No. 123)
One atom of each set of equivalent atoms:
La 0.000 0.000 0.000 (multiplicity 1)
Mg 0.500 0.500 0.000 (multiplicity 1)
H 0.000 0.000 0.500 (multiplicity 1)
F 0.000 0.500 0.500 (multiplicity 2)

Results
* magnetic moment: 0.00 μB per atom
* raw total energy: -4.049 eV per atom
* density: 3762 kg/m³